No. 1
Material: NdHo2Mg3Tl2Zn
Method: DFT, PBE
State: relaxed

```
NdHo2Mg3Tl2Zn
1.0
-2.666 3.041 -2.199
-6.124 -4.042 1.837
2.545 5.503 4.523
Mg Nd Tl Ho Zn
3 1 2 2 1
Cartesian
-0.223 6.075 3.851
-6.859 -1.232 1.794
-4.067 2.636 3.757
-1.485 0.606 2.638
-4.607 0.631 1.640
-1.657 3.878 2.554
-3.603 -2.369 1.093
1.485 3.233 2.670
-3.548 1.448 6.304
```

Values from the calculation:
space group = No. 38
crystal system = orthorhombic
E_tot = -3.049 eV/atom

No. 2
Material: Tm3ScTe2C2
Method: DFT, PBE
State: relaxed

```
Tm3ScTe2C2
1.0
-1.331 2.513 -2.411
-2.197 -2.749 1.230
-4.015 7.872 10.421
Sc C Tm Te
1 2 3 2
Cartesian
-2.281 -0.264 0.985
-1.997 3.915 5.183
-0.024 0.047 0.063
-5.290 7.953 8.328
-3.995 5.415 4.967
-3.530 2.183 4.224
-4.930 4.929 7.859
-2.591 2.662 1.323
```

Values from the calculation:
space group = No. 156
crystal system = trigonal
E_tot = -6.434 eV/atom